# 1
The following is a GGA-PBE calculation of a relaxed structure of ScCoAsPd, from OQMD via LeMat-Bulk.

abc: 4.4063 4.4063 4.4063
angles: 60.00 60.00 60.00
Closest atoms and distances in Å follow each position.
Positions (direct):
Sc  0.0000  0.0000  0.0000  4 Co 2.70, 4 Pd 2.70
Co  0.7500  0.7500  0.7500  4 As 2.70, 4 Sc 2.70
As  0.5000  0.5000  0.5000  4 Co 2.70, 4 Pd 2.70
Pd  0.2500  0.2500  0.2500  4 As 2.70, 4 Sc 2.70

VASP energy in eV/cell: -25.07
Space group: F-43m (216)
V in Å³ per atom: 15.1
Magnetic moment in μB per formula unit: 0.859


# 2
The following is a GGA-PBE calculation of a relaxed structure of SrCoAs2Pd, from OQMD via LeMat-Bulk.

abc: 6.3064 6.3064 6.3064
angles: 141.11 141.11 56.17
Closest atoms and distances in Å follow each position.
Positions (direct):
Sr  0.0000  0.0000  0.0000  8 As 3.34, 4 Co 3.49, 4 Pd 3.49
Co  0.2500  0.7500  0.5000  4 As 2.44
As  0.3621  0.3621  0.0000  2 Pd 2.44, 2 Co 2.44
As  0.6379  0.6379  0.0000  2 Co 2.44, 2 Pd 2.44
Pd  0.7500  0.2500  0.5000  4 As 2.44

VASP energy in eV/cell: -26.32
Space group: I-4m2 (119)
V in Å³ per atom: 19.6
Magnetic moment in μB per formula unit: 1.409